[1]
The following is a PBEsol calculation of a geometry-optimized TaInSb structure, from Alexandria via LeMat-Bulk. Values from VASP.

```
&SYSTEM
  ibrav = 0, nat = 3, ntyp = 3
/
ATOMIC_SPECIES
In 114.82 In.upf
Sb 121.76 Sb.upf
Ta 180.95 Ta.upf
CELL_PARAMETERS angstrom
-0.9642 1.3710 2.7571
0.1802 -3.2135 -0.2270
6.7607 0.2198 2.2550
ATOMIC_POSITIONS crystal
In 0.0000 0.0000 0.0195
Sb 0.6667 0.3333 0.6415
Ta 0.3333 0.6667 0.3390
```

## Properties
energy relative to the elements, uncorrected = 0.185 eV per atom
SG = P3m1 (156)
crystal system = trigonal
size of the total moment = 0.00 μB per atom
volume = 64.3 Å³/cell

---

[2]
The following is a PBEsol calculation of a geometry-optimized SnPbAu3 structure, from Alexandria via LeMat-Bulk. Values from VASP.

```
&SYSTEM
  ibrav = 0, nat = 5, ntyp = 3
/
ATOMIC_SPECIES
Au 196.97 Au.upf
Pb 207.20 Pb.upf
Sn 118.71 Sn.upf
CELL_PARAMETERS angstrom
-3.1540 3.9679 1.1135
-2.7161 -0.9468 -4.3196
-3.0995 -3.2080 2.6521
ATOMIC_POSITIONS crystal
Au 0.0000 0.0000 0.5000
Au 0.0000 0.5000 0.0000
Au 0.5000 0.0000 0.0000
Pb 0.0000 0.0000 0.0000
Sn 0.5000 0.5000 0.5000
```

## Properties
SG = Pm-3m (221)
ΔE_f = 0.712 eV per atom
crystal system = cubic
size of the total moment = 0.00 μB per atom
volume = 139.8 Å³/cell

---

[3]
The following is a PBEsol calculation of a geometry-optimized HgPt2Br structure, from Alexandria via LeMat-Bulk. Values from VASP.

```
&SYSTEM
  ibrav = 0, nat = 4, ntyp = 3
/
ATOMIC_SPECIES
Br 79.90 Br.upf
Hg 200.59 Hg.upf
Pt 195.08 Pt.upf
CELL_PARAMETERS angstrom
3.5620 0.0000 0.0000
1.7810 3.0847 0.0000
1.7810 1.0282 7.5228
ATOMIC_POSITIONS crystal
Br 0.4806 0.4806 0.5582
Hg 0.2623 0.2623 0.2132
Pt 0.7465 0.7465 0.7604
Pt 0.0106 0.0106 0.9682
```

## Properties
energy relative to the elements, uncorrected = 0.238 eV per atom
SG = R3m (160)
crystal system = trigonal
size of the total moment = 0.00 μB per atom
volume = 82.7 Å³/cell

---

[4]
The following is a PBEsol calculation of a geometry-optimized SrZrCo2 structure, from Alexandria via LeMat-Bulk. Values from VASP.

```
&SYSTEM
  ibrav = 0, nat = 4, ntyp = 3
/
ATOMIC_SPECIES
Sr 87.62 Sr.upf
Co 58.93 Co.upf
Zr 91.22 Zr.upf
CELL_PARAMETERS angstrom
-3.4292 -0.7224 -1.5892
-0.2752 -2.4590 -2.9469
-2.1882 -6.2427 2.9011
ATOMIC_POSITIONS crystal
Sr 0.4836 0.4836 0.5491
Co 0.7078 0.7078 0.8767
Co 0.0423 0.0423 0.8731
Zr 0.3076 0.3076 0.0773
```

## Properties
SG = R3m (160)
ΔE_f = 0.072 eV per atom
crystal system = trigonal
size of the total moment = 0.05 μB per atom
volume = 88.1 Å³/cell

---

[5]
The following is a PBEsol calculation of a geometry-optimized ReNi3Se structure, from Alexandria via LeMat-Bulk. Values from VASP.

```
&SYSTEM
  ibrav = 0, nat = 5, ntyp = 3
/
ATOMIC_SPECIES
Ni 58.69 Ni.upf
Se 78.96 Se.upf
Re 186.21 Re.upf
CELL_PARAMETERS angstrom
4.1925 0.0000 0.0000
0.0000 4.1925 0.0000
0.0000 0.0000 4.1925
ATOMIC_POSITIONS crystal
Ni 0.5000 0.0000 0.0000
Ni 0.0000 0.5000 0.0000
Ni 0.0000 0.0000 0.5000
Se 0.0000 0.0000 0.0000
Re 0.5000 0.5000 0.5000
```

## Properties
energy relative to the elements, uncorrected = 1.129 eV per atom
SG = Pm-3m (221)
crystal system = cubic
size of the total moment = 0.57 μB per atom
volume = 73.7 Å³/cell

---

[6]
The following is a PBEsol calculation of a geometry-optimized Co2ReMo structure, from Alexandria via LeMat-Bulk. Values from VASP.

```
&SYSTEM
  ibrav = 0, nat = 4, ntyp = 3
/
ATOMIC_SPECIES
Re 186.21 Re.upf
Mo 95.94 Mo.upf
Co 58.93 Co.upf
CELL_PARAMETERS angstrom
-2.1711 0.8877 1.1236
-2.2959 -1.9927 -2.8618
-0.1255 -3.6604 2.6495
ATOMIC_POSITIONS crystal
Re 0.5000 0.5000 0.1937
Mo 0.5000 0.0000 0.5532
Co 0.0000 0.0000 0.0410
Co 0.0000 0.5000 0.7122
```

## Properties
SG = Pmm2 (25)
ΔE_f = -0.075 eV per atom
crystal system = orthorhombic
size of the total moment = 0.00 μB per atom
volume = 49.1 Å³/cell

---

[7]
The following is a PBEsol calculation of a geometry-optimized K3Li structure, from Alexandria via LeMat-Bulk. Values from VASP.

```
&SYSTEM
  ibrav = 0, nat = 4, ntyp = 2
/
ATOMIC_SPECIES
Li 6.94 Li.upf
K 39.10 K.upf
CELL_PARAMETERS angstrom
-0.2087 -3.9249 1.9562
3.1161 2.8674 1.1589
-8.3758 5.2258 9.5913
ATOMIC_POSITIONS crystal
Li 0.3333 0.6667 0.5000
K 0.3333 0.6667 0.0000
K 0.0000 0.0000 0.7143
K 0.0000 0.0000 0.2857
```

## Properties
SG = P-6m2 (187)
ΔE_f = 0.113 eV per atom
crystal system = hexagonal
size of the total moment = 0.00 μB per atom
volume = 229.8 Å³/cell

---

[8]
The following is a PBEsol calculation of a geometry-optimized In2BiH structure, from Alexandria via LeMat-Bulk. Values from VASP.

```
&SYSTEM
  ibrav = 0, nat = 4, ntyp = 3
/
ATOMIC_SPECIES
Bi 208.98 Bi.upf
In 114.82 In.upf
H 1.01 H.upf
CELL_PARAMETERS angstrom
-1.1755 1.0435 -4.8214
3.4130 -0.7821 -3.6683
-0.6669 -3.7739 -3.3211
ATOMIC_POSITIONS crystal
Bi 0.5000 0.5000 0.5000
In 0.2500 0.2500 0.2500
In 0.7500 0.7500 0.7500
H 0.0000 0.0000 0.0000
```

## Properties
calculated total energy = -12.05 eV/cell
SG = Fm-3m (225)
crystal system = cubic
size of the total moment = 0.00 μB per atom
volume = 92.2 Å³/cell

---

[9]
The following is a PBEsol calculation of a geometry-optimized ZrAlNi structure, from Alexandria via LeMat-Bulk. Values from VASP.

```
&SYSTEM
  ibrav = 0, nat = 3, ntyp = 3
/
ATOMIC_SPECIES
Zr 91.22 Zr.upf
Ni 58.69 Ni.upf
Al 26.98 Al.upf
CELL_PARAMETERS angstrom
-2.6027 -1.6487 -0.4556
2.2633 -3.1049 -1.6943
-0.7482 0.0395 4.1318
ATOMIC_POSITIONS crystal
Zr 0.3333 0.3333 0.6667
Ni 0.8334 0.6667 0.3333
Al 0.8334 0.0000 0.0000
```

## Properties
SG = P-6m2 (187)
ΔE_f = -0.484 eV per atom
crystal system = hexagonal
size of the total moment = 0.00 μB per atom
volume = 47.6 Å³/cell

---

[10]
The following is a PBEsol calculation of a geometry-optimized ZrZn2Co structure, from Alexandria via LeMat-Bulk. Values from VASP.

```
&SYSTEM
  ibrav = 0, nat = 4, ntyp = 3
/
ATOMIC_SPECIES
Zr 91.22 Zr.upf
Zn 65.41 Zn.upf
Co 58.93 Co.upf
CELL_PARAMETERS angstrom
-1.6657 -0.5289 2.3853
0.7065 -2.8678 -0.1426
5.2812 1.1055 3.9332
ATOMIC_POSITIONS crystal
Zr 0.0000 0.0000 0.5339
Zn 0.0000 0.0000 0.9785
Zn 0.5000 0.5000 0.2135
Co 0.5000 0.5000 0.7740
```

## Properties
SG = P4mm (99)
ΔE_f = -0.172 eV per atom
crystal system = tetragonal
size of the total moment = 0.00 μB per atom
volume = 58.4 Å³/cell

---

[11]
The following is a PBEsol calculation of a geometry-optimized MnIrOs2 structure, from Alexandria via LeMat-Bulk. Values from VASP.

```
&SYSTEM
  ibrav = 0, nat = 4, ntyp = 3
/
ATOMIC_SPECIES
Os 190.23 Os.upf
Mn 54.94 Mn.upf
Ir 192.22 Ir.upf
CELL_PARAMETERS angstrom
3.7480 0.0000 0.0000
0.0000 3.7480 0.0000
0.0000 0.0000 3.7968
ATOMIC_POSITIONS crystal
Os 0.5000 0.0000 0.0000
Os 0.0000 0.5000 0.0000
Mn 0.0000 0.0000 0.5000
Ir 0.5000 0.5000 0.5000
```

## Properties
SG = P4/mmm (123)
ΔE_f = 0.014 eV per atom
crystal system = tetragonal
size of the total moment = 0.31 μB per atom
volume = 53.3 Å³/cell

---

[12]
The following is a PBEsol calculation of a geometry-optimized GaGe3C structure, from Alexandria via LeMat-Bulk. Values from VASP.

```
&SYSTEM
  ibrav = 0, nat = 5, ntyp = 3
/
ATOMIC_SPECIES
C 12.01 C.upf
Ge 72.64 Ge.upf
Ga 69.72 Ga.upf
CELL_PARAMETERS angstrom
4.3245 0.0000 0.0000
0.0000 4.3245 0.0000
0.0000 0.0000 4.3245
ATOMIC_POSITIONS crystal
C 0.0000 0.0000 0.0000
Ge 0.0000 0.0000 0.5000
Ge 0.0000 0.5000 0.0000
Ge 0.5000 0.0000 0.0000
Ga 0.5000 0.5000 0.5000
```

## Properties
SG = Pm-3m (221)
ΔE_f = 0.854 eV per atom
crystal system = cubic
size of the total moment = 0.00 μB per atom
volume = 80.9 Å³/cell